Material: GdInNiPd
Method: DFT, GGA-PBE
State: relaxed

Geometry as CIF:
```
data_GdInNiPd
_space_group_name_H-M_alt 'F -4 3 m'
_space_group_IT_number 216
_space_group_name_Hall 'F -4 2 3'
_cell_length_a 6.723
_cell_length_b 6.723
_cell_length_c 6.723
_cell_angle_alpha 90.00
_cell_angle_beta 90.00
_cell_angle_gamma 90.00
loop_
_atom_site_label
_atom_site_fract_x
_atom_site_fract_y
_atom_site_fract_z
Gd1 0.000 0.000 0.000
In1 0.000 0.000 0.500
Ni1 0.250 0.250 0.750
Pd1 0.250 0.250 0.250
```

Results
Calculated formation energy: -533.1 meV per atom
DFT total energy: -119.70 eV/cell
V: 303.9 Å³ per cell
Magnetization: 1.823 μB/atom

Material: LiAc2PdAu6
Method: DFT, GGA-PBE
State: relaxed

Geometry as CIF:
```
data_LiAc2PdAu6
_space_group_name_H-M_alt 'P -1'
_space_group_IT_number 2
_cell_length_a 5.461
_cell_length_b 6.974
_cell_length_c 7.258
_cell_angle_alpha 80.57
_cell_angle_beta 67.96
_cell_angle_gamma 66.99
loop_
_space_group_symop_operation_xyz
'x,y,z'
'-x,-y,-z'
loop_
_atom_site_label
_atom_site_fract_x
_atom_site_fract_y
_atom_site_fract_z
Li1 0.000 0.000 0.000
Ac1 0.231 0.235 0.304
Pd1 0.500 0.500 0.500
Au1 0.236 0.778 0.250
Au2 0.249 0.594 0.907
Au3 0.263 0.223 0.749
```

Results
Calculated formation energy: -566.6 meV per atom
DFT total energy: -40.65 eV/cell
V: 235.8 Å³ per cell
Magnetization: 0.000 μB/atom

Material: LiTm2ZrAs4
Method: DFT, GGA-PBE
State: relaxed

Geometry as CIF:
```
data_LiTm2ZrAs4
_space_group_name_H-M_alt 'P 1 2/m 1'
_space_group_IT_number 10
_cell_length_a 6.799
_cell_length_b 3.958
_cell_length_c 6.987
_cell_angle_alpha 90.00
_cell_angle_beta 109.45
_cell_angle_gamma 90.00
loop_
_space_group_symop_operation_xyz
'x,y,z'
'-x,-y,-z'
'-x,y,-z'
'x,-y,z'
loop_
_atom_site_label
_atom_site_fract_x
_atom_site_fract_y
_atom_site_fract_z
Li1 0.000 0.000 0.000
Tm1 0.500 0.000 0.500
Tm2 0.500 0.500 0.000
Zr1 0.000 0.500 0.500
As1 0.238 0.000 0.745
As2 0.239 0.500 0.251
```

Results
Calculated formation energy: -1055.8 meV per atom
DFT total energy: -46.45 eV/cell
V: 177.3 Å³ per cell
Magnetization: 0.000 μB/atom

Material: Sr2Ca3Pt4
Method: DFT, GGA-PBE
State: relaxed

Geometry as CIF:
```
data_Sr2Ca3Pt4
_space_group_name_H-M_alt 'P 1 21/c 1'
_space_group_IT_number 14
_cell_length_a 7.942
_cell_length_b 7.930
_cell_length_c 7.691
_cell_angle_alpha 90.00
_cell_angle_beta 108.85
_cell_angle_gamma 90.00
loop_
_space_group_symop_operation_xyz
'x,y,z'
'-x,-y,-z'
'-x,y+1/2,-z+1/2'
'x,-y+1/2,z+1/2'
loop_
_atom_site_label
_atom_site_fract_x
_atom_site_fract_y
_atom_site_fract_z
Sr1 0.193 0.175 0.069
Ca1 0.245 0.674 0.248
Ca2 0.500 0.000 0.500
Pt1 0.083 0.535 0.869
Pt2 0.496 0.125 0.875
```

Results
Calculated formation energy: -875.1 meV per atom
DFT total energy: -82.82 eV/cell
V: 458.4 Å³ per cell
Magnetization: 0.000 μB/atom